[1]
Na4InF5 | Alexandria | PBE | relaxed; formation energy (no corrections) = -2.46 eV/atom; magnetization = 0.00 μB/cell
1.0
-3.739 3.739 2.715
3.739 -3.739 2.715
3.739 3.739 -2.715
Na In F
4 1 5
Direct
0.102 0.701 0.803 Na
0.299 0.102 0.402 Na
0.701 0.898 0.598 Na
0.898 0.299 0.197 Na
0.486 0.486 0.000 In
0.257 0.464 0.570 F
0.464 0.894 0.206 F
0.688 0.257 0.794 F
0.894 0.688 0.430 F
0.904 0.904 0.000 F

---

[2]
PmMgSi2Rh5 | Alexandria | PBE | relaxed; formation energy (no corrections) = -0.61 eV/atom; magnetization = 0.00 μB/cell
1.0
4.491 0.000 0.000
0.000 4.491 0.000
0.000 0.000 7.398
Pm Mg Si Rh
1 1 2 5
Direct
0.000 0.000 0.000 Pm
0.000 0.000 0.500 Mg
0.500 0.500 0.330 Si
0.500 0.500 0.670 Si
0.000 0.500 0.275 Rh
0.000 0.500 0.725 Rh
0.500 0.000 0.275 Rh
0.500 0.000 0.725 Rh
0.500 0.500 0.000 Rh

---

[3]
CaTl2Mo | Alexandria | PBE | relaxed; ΔE_f = 0.340 eV/atom; magnetization = 0.48 μB/cell
1.0
3.213 0.000 0.000
0.000 3.213 0.000
0.000 0.000 8.828
Ca Tl Mo
1 2 1
Direct
0.000 0.000 0.000 Ca
0.500 0.500 0.273 Tl
0.500 0.500 0.727 Tl
0.000 0.000 0.500 Mo